No. 1
PBE ZrHgW2, optimized geometry; DFT total energy = -32.89 eV per formula unit; volume = 74 Å³/cell; calculated formation energy = 0.467 eV per atom; crystal system = orthorhombic
1.0
-1.739 2.279 4.689
1.739 -2.279 4.689
1.739 2.279 -4.689
Zr Hg W
1 1 2
Cartesian
0.000 0.000 0.000
0.000 0.000 4.689
1.739 0.000 2.296
0.000 2.279 2.393


No. 2
PBE NaLiLaGa, optimized geometry; DFT total energy = -11.74 eV per formula unit; volume = 101 Å³/cell; calculated formation energy = -0.138 eV per atom; crystal system = cubic
1.0
0.000 3.695 3.695
3.695 0.000 3.695
3.695 3.695 0.000
Na Li La Ga
1 1 1 1
Cartesian
0.000 0.000 0.000
5.542 5.542 5.542
3.695 3.695 3.695
1.847 1.847 1.847


No. 3
PBE SmHo2In, optimized geometry; energy relative to the lowest polymorph listed for this composition = 0.027 eV per atom; DFT total energy = -17.56 eV per formula unit; volume = 118 Å³/cell; calculated formation energy = -0.237 eV per atom; crystal system = tetragonal
1.0
3.594 0.000 0.000
0.000 3.594 0.000
0.000 0.000 9.172
Sm Ho In
1 2 1
Cartesian
0.000 0.000 0.000
1.797 1.797 2.531
1.797 1.797 6.641
0.000 0.000 4.586


No. 4
PBE Sm7Er16Th6, optimized geometry; DFT total energy = -141.16 eV per formula unit; volume = 955 Å³/cell; calculated formation energy = 0.324 eV per atom; crystal system = cubic
1.0
0.000 7.817 7.817
7.817 0.000 7.817
7.817 7.817 0.000
Sm Er Th
7 16 6
Cartesian
0.000 0.000 0.000
3.908 3.908 0.000
3.908 0.000 3.908
7.817 3.908 3.908
0.000 3.908 3.908
3.908 7.817 3.908
3.908 3.908 7.817
10.292 5.342 5.342
1.896 1.896 1.896
5.921 5.921 1.896
5.921 1.896 5.921
5.342 5.342 5.342
10.292 10.292 5.342
10.292 5.342 10.292
13.738 9.713 9.713
1.896 5.921 5.921
5.342 10.292 5.342
5.342 5.342 10.292
10.292 10.292 10.292
9.713 13.738 9.713
9.713 9.713 13.738
13.738 13.738 13.738
5.342 10.292 10.292
7.817 7.817 5.170
7.817 5.170 7.817
10.464 7.817 7.817
5.170 7.817 7.817
7.817 10.464 7.817
7.817 7.817 10.464


No. 5
PBE Er2SbRh, optimized geometry; energy relative to the lowest polymorph listed for this composition = 0.000 eV per atom; DFT total energy = -24.46 eV per formula unit; volume = 192 Å³/cell; raw formation energy = -0.9652 eV per atom; crystal system = monoclinic
1.0
6.048 0.000 0.000
0.000 4.291 0.000
-2.914 0.000 7.402
Er Sb Rh
4 2 2
Cartesian
-0.165 1.073 2.979
1.355 3.219 0.380
1.779 1.073 7.022
3.299 3.219 4.423
0.308 3.219 5.253
2.826 1.073 2.149
-1.518 1.073 5.844
4.652 3.219 1.558


No. 6
PBE NdEr2CdC, optimized geometry; DFT total energy = -25.38 eV per formula unit; volume = 123 Å³/cell; calculated formation energy = -0.269 eV per atom; crystal system = tetragonal
1.0
4.860 0.000 0.000
0.000 4.860 0.000
0.000 0.000 5.198
Nd Er Cd C
1 2 1 1
Cartesian
0.000 0.000 0.000
0.000 2.430 2.599
2.430 0.000 2.599
2.430 2.430 0.000
0.000 0.000 2.599


No. 7
PBE YReAg2, optimized geometry; energy relative to the lowest polymorph listed for this composition = 0.354 eV per atom; DFT total energy = -21.66 eV per formula unit; volume = 168 Å³/cell; calculated formation energy = 0.737 eV per atom; crystal system = tetragonal
1.0
-2.022 2.022 10.303
2.022 -2.022 10.303
2.022 2.022 -10.303
Y Re Ag
2 2 4
Cartesian
0.000 0.000 0.000
0.000 2.022 5.151
2.022 0.000 5.151
0.000 0.000 10.303
1.011 -0.924 7.727
1.098 1.011 2.576
1.011 2.946 -2.576
0.924 1.011 12.879


No. 8
PBE TbSiPt3, optimized geometry; energy relative to the lowest polymorph listed for this composition = 0.000 eV per atom; DFT total energy = -33.67 eV per formula unit; volume = 90 Å³/cell; raw formation energy = -1.0993 eV per atom; crystal system = tetragonal
1.0
-2.017 2.017 5.518
2.017 -2.017 5.518
2.017 2.017 -5.518
Tb Si Pt
1 1 3
Cartesian
0.000 0.000 0.000
0.000 0.000 4.145
2.017 0.000 2.843
0.000 0.000 6.424
0.000 2.017 2.843


No. 9
PBE CaCu2AgRu, optimized geometry; DFT total energy = -16.45 eV per formula unit; volume = 116 Å³/cell; calculated formation energy = 1.175 eV per atom; crystal system = tetragonal
1.0
4.705 0.000 0.000
0.000 4.705 0.000
0.000 0.000 5.227
Ca Cu Ag Ru
1 2 1 1
Cartesian
0.000 0.000 0.000
0.000 2.353 2.614
2.353 0.000 2.614
0.000 0.000 2.614
2.353 2.353 0.000


No. 10
PBE Dy2TmH, optimized geometry; energy relative to the lowest polymorph listed for this composition = 0.000 eV per atom; DFT total energy = -17.77 eV per formula unit; volume = 93 Å³/cell; crystal system = trigonal
1.0
1.791 1.034 8.396
-1.791 1.034 8.396
0.000 -2.068 8.396
Dy Tm H
2 1 1
Cartesian
0.000 0.000 5.570
0.000 0.000 19.617
0.000 0.000 0.000
0.000 0.000 12.594


No. 11
PBE Zr2NpGa2Ru5, optimized geometry; DFT total energy = -86.12 eV per formula unit; volume = 334 Å³/cell; calculated formation energy = -0.365 eV per atom; crystal system = tetragonal
1.0
9.672 0.000 0.000
0.000 9.672 0.000
0.000 0.000 3.571
Zr Np Ga Ru
4 2 4 10
Cartesian
1.623 3.213 0.000
3.213 8.049 0.000
6.459 1.623 0.000
8.049 6.459 0.000
0.000 0.000 0.000
4.836 4.836 0.000
1.242 6.078 0.000
3.594 1.242 0.000
6.078 8.430 0.000
8.430 3.594 0.000
0.000 4.836 1.785
0.651 7.733 1.785
1.939 0.651 1.785
2.897 5.487 1.785
4.185 2.897 1.785
4.836 0.000 1.785
5.487 6.775 1.785
6.775 4.185 1.785
7.733 9.021 1.785
9.021 1.939 1.785


No. 12
PBE TiZn3Cu, optimized geometry; energy relative to the lowest polymorph listed for this composition = 0.011 eV per atom; DFT total energy = -15.81 eV per formula unit; volume = 147 Å³/cell; calculated formation energy = 0.000 eV per atom; crystal system = triclinic
1.0
4.609 0.000 0.000
-0.003 5.190 0.000
-2.300 -2.577 6.137
Ti Zn Cu
2 6 2
Cartesian
0.003 1.296 0.351
2.304 1.317 5.786
-1.151 1.306 3.068
0.000 -0.079 4.884
0.001 2.702 4.882
1.153 1.306 3.068
2.305 -0.089 1.255
2.306 2.692 1.252
-0.004 3.904 2.255
2.310 -1.291 3.882


Please write out number 6 again, unchanged.
PBE NdEr2CdC, optimized geometry; DFT total energy = -25.38 eV per formula unit; volume = 123 Å³/cell; calculated formation energy = -0.269 eV per atom; crystal system = tetragonal
1.0
4.860 0.000 0.000
0.000 4.860 0.000
0.000 0.000 5.198
Nd Er Cd C
1 2 1 1
Cartesian
0.000 0.000 0.000
0.000 2.430 2.599
2.430 0.000 2.599
2.430 2.430 0.000
0.000 0.000 2.599